# LiLaErTc | Alexandria via LeMat-Bulk | PBE-GGA | optimized geometry
data_LiLaErTc
_symmetry_space_group_name_H-M 'F -4 3 m'
_symmetry_Int_Tables_number 216
_symmetry_space_group_name_Hall 'F -4 2 3'
_cell_length_a 7.096
_cell_length_b 7.096
_cell_length_c 7.096
_cell_angle_alpha 90.00
_cell_angle_beta 90.00
_cell_angle_gamma 90.00
loop_
_atom_site_label
_atom_site_type_symbol
_atom_site_fract_x
_atom_site_fract_y
_atom_site_fract_z
_atom_site_occupancy
Li1 Li 0.000 0.000 0.000 1
La1 La 0.250 0.250 0.250 1
Er1 Er 0.250 0.250 0.750 1
Tc1 Tc 0.000 0.000 0.500 1
# * DOS at the Fermi energy: 16.5 states/eV per cell
# * spin magnetization: 0.00 Bohr magnetons per cell
# * calculated density: 7.64 g cm⁻³
# * final energy: -5.42 eV/atom